The following is a DFT calculation (PBE) of crystalline In2AgSb2 at its relaxed geometry.

Unit cell a=7.3581 b=7.3581 c=5.2738 alpha=90.00 beta=90.00 gamma=90.00
Space group P4/mbm (No. 127)
Asymmetric unit:
In1 0.1735 0.3265 0.0000 [4 per cell]
Ag1 0.0000 0.0000 0.5000 [2 per cell]
Sb1 0.1408 0.6408 0.5000 [4 per cell]

Formation energy (no corrections) ... 0.0976 eV/atom
Magnetization ... 0.000 μB/f.u.
Relative energy among the computed polymorphs ... 0.00 kJ per mole of atoms
Uncorrected energy ... -3.2170 eV per atom